Entry 1:
Density functional theory data (PBE) for CsAgTe2I after structural relaxation.

Lattice parameters (Å, degrees): 6.469 6.469 7.043 90.00 90.00 90.00
Fractional positions:
Cs 0.000 0.000 0.000
Ag 0.500 0.500 0.500
Te 0.000 0.500 0.000
Te 0.500 0.000 0.000
I 0.000 0.000 0.500

Output
- Total energy: -1.50 eV per atom
- Spin magnetization: 0.4105 μB per atom
- Calculated volume: 295 Å³/cell
- D(E_F): 8.58 states/eV/cell

Entry 2:
Density functional theory data (PBE) for CsAgTe2I after structural relaxation.

Lattice parameters (Å, degrees): 5.534 5.534 6.326 90.00 90.00 90.00
Fractional positions:
Cs 0.000 0.000 0.000
Ag 0.500 0.500 0.500
Te 0.000 0.500 0.500
Te 0.500 0.000 0.500
I 0.500 0.500 0.000

Output
- Total energy: -2.57 eV per atom
- Spin magnetization: 0.0000 μB per atom
- Calculated volume: 194 Å³/cell
- D(E_F): 7.90 states/eV/cell

Entry 3:
Density functional theory data (PBE) for CsAg2TeI6 after structural relaxation.

Lattice parameters (Å, degrees): 11.406 11.406 9.613 112.98 112.98 68.18
Fractional positions:
Cs 0.192 0.808 0.750
Cs 0.808 0.192 0.250
Ag 0.127 0.310 0.168
Ag 0.310 0.127 0.668
Ag 0.690 0.873 0.332
Ag 0.873 0.690 0.832
Te 0.295 0.705 0.250
Te 0.705 0.295 0.750
I 0.141 0.262 0.447
I 0.154 0.572 0.926
I 0.242 0.534 0.369
I 0.262 0.141 0.947
I 0.428 0.846 0.574
I 0.466 0.758 0.131
I 0.534 0.242 0.869
I 0.572 0.154 0.426
I 0.738 0.859 0.053
I 0.758 0.466 0.631
I 0.846 0.428 0.074
I 0.859 0.738 0.553

Output
- Total energy: -2.28 eV per atom
- Spin magnetization: 0.0874 μB per atom
- Calculated volume: 1024 Å³/cell
- D(E_F): 6.67 states/eV/cell

Entry 4:
Density functional theory data (PBE) for CsThAgI6 after structural relaxation.

Lattice parameters (Å, degrees): 7.948 7.948 17.546 90.00 90.00 120.00
Fractional positions:
Cs 0.000 0.000 0.000
Cs 0.000 0.000 0.500
Th 0.333 0.667 0.250
Th 0.667 0.333 0.750
Ag 0.333 0.667 0.750
Ag 0.667 0.333 0.250
I 0.002 0.369 0.147
I 0.002 0.632 0.353
I 0.368 0.369 0.353
I 0.368 0.998 0.147
I 0.369 0.002 0.647
I 0.369 0.368 0.853
I 0.631 0.632 0.147
I 0.631 0.998 0.353
I 0.632 0.002 0.853
I 0.632 0.631 0.647
I 0.998 0.368 0.647
I 0.998 0.631 0.853

Output
- Total energy: -3.34 eV per atom
- Spin magnetization: 0.0000 μB per atom
- Calculated volume: 960 Å³/cell
- D(E_F): 0.00 states/eV/cell

Entry 5:
Density functional theory data (PBE) for CsTi2AgI8 after structural relaxation.

Lattice parameters (Å, degrees): 7.597 7.597 10.793 90.00 90.00 120.00
Fractional positions:
Cs 0.000 0.000 0.000
Ti 0.333 0.667 0.744
Ti 0.667 0.333 0.256
Ag 0.000 0.000 0.500
I 0.007 0.327 0.671
I 0.320 0.993 0.671
I 0.327 0.320 0.329
I 0.333 0.667 0.988
I 0.667 0.333 0.012
I 0.673 0.680 0.671
I 0.680 0.007 0.329
I 0.993 0.673 0.329

Output
- Total energy: -3.39 eV per atom
- Spin magnetization: 0.1667 μB per atom
- Calculated volume: 540 Å³/cell
- D(E_F): 11.94 states/eV/cell

Entry 6:
Density functional theory data (PBE) for Cs2Tl3AgI6 after structural relaxation.

Lattice parameters (Å, degrees): 8.899 8.899 8.905 100.05 100.05 120.31
Fractional positions:
Cs 0.164 0.836 0.000
Cs 0.836 0.164 0.000
Tl 0.000 0.000 0.500
Tl 0.338 0.662 0.500
Tl 0.662 0.338 0.500
Ag 0.500 0.500 0.000
I 0.155 0.429 0.770
I 0.273 0.273 0.280
I 0.429 0.155 0.770
I 0.571 0.845 0.230
I 0.727 0.727 0.720
I 0.845 0.571 0.230

Output
- Total energy: -2.59 eV per atom
- Spin magnetization: 0.0000 μB per atom
- Calculated volume: 570 Å³/cell
- D(E_F): 0.00 states/eV/cell

Entry 7:
Density functional theory data (PBE) for CsTlAgI3 after structural relaxation.

Lattice parameters (Å, degrees): 10.950 4.894 11.103 90.00 102.58 90.00
Fractional positions:
Cs 0.180 0.250 0.221
Cs 0.820 0.750 0.779
Tl 0.349 0.750 0.855
Tl 0.651 0.250 0.145
Ag 0.079 0.250 0.594
Ag 0.921 0.750 0.406
I 0.105 0.250 0.854
I 0.190 0.750 0.517
I 0.432 0.750 0.170
I 0.568 0.250 0.830
I 0.810 0.250 0.483
I 0.895 0.750 0.146

Output
- Total energy: -2.61 eV per atom
- Spin magnetization: 0.0000 μB per atom
- Calculated volume: 581 Å³/cell
- D(E_F): 0.00 states/eV/cell

Entry 8:
Density functional theory data (PBE) for CsTlAgI4 after structural relaxation.

Lattice parameters (Å, degrees): 8.879 6.822 11.028 90.00 105.78 90.00
Fractional positions:
Cs 0.236 0.250 0.439
Cs 0.764 0.750 0.561
Tl 0.211 0.250 0.937
Tl 0.789 0.750 0.063
Ag 0.234 0.750 0.175
Ag 0.766 0.250 0.825
I 0.059 0.750 0.353
I 0.088 0.750 0.916
I 0.495 0.507 0.760
I 0.495 0.993 0.760
I 0.505 0.007 0.240
I 0.505 0.493 0.240
I 0.912 0.250 0.084
I 0.941 0.250 0.647

Output
- Total energy: -2.44 eV per atom
- Spin magnetization: 0.0000 μB per atom
- Calculated volume: 643 Å³/cell
- D(E_F): 3.75 states/eV/cell

Entry 9:
Density functional theory data (PBE) for Cs2TlAgI4 after structural relaxation.

Lattice parameters (Å, degrees): 6.888 6.888 24.974 90.00 90.00 136.16
Fractional positions:
Cs 0.125 0.875 0.590
Cs 0.125 0.875 0.910
Cs 0.875 0.125 0.090
Cs 0.875 0.125 0.410
Tl 0.395 0.605 0.750
Tl 0.605 0.395 0.250
Ag 0.279 0.721 0.250
Ag 0.721 0.279 0.750
I 0.107 0.893 0.750
I 0.172 0.828 0.151
I 0.172 0.828 0.349
I 0.500 0.500 0.000
I 0.500 0.500 0.500
I 0.828 0.172 0.651
I 0.828 0.172 0.849
I 0.893 0.107 0.250

Output
- Total energy: -2.61 eV per atom
- Spin magnetization: 0.0000 μB per atom
- Calculated volume: 821 Å³/cell
- D(E_F): 0.00 states/eV/cell

Entry 10:
Density functional theory data (PBE) for CsTlAg2I after structural relaxation.

Lattice parameters (Å, degrees): 5.494 5.494 6.889 90.00 90.00 90.00
Fractional positions:
Cs 0.000 0.000 0.000
Tl 0.500 0.500 0.500
Ag 0.000 0.500 0.500
Ag 0.500 0.000 0.500
I 0.500 0.500 0.000

Output
- Total energy: -2.28 eV per atom
- Spin magnetization: 0.0000 μB per atom
- Calculated volume: 208 Å³/cell
- D(E_F): 1.09 states/eV/cell

Entry 11:
Density functional theory data (PBE) for Cs2TlAg2I7 after structural relaxation.

Lattice parameters (Å, degrees): 5.842 5.842 15.619 100.75 100.75 89.99
Fractional positions:
Cs 0.176 0.176 0.354
Cs 0.824 0.824 0.646
Tl 0.000 0.000 0.000
Ag 0.404 0.404 0.806
Ag 0.596 0.596 0.194
I 0.085 0.585 0.171
I 0.308 0.308 0.614
I 0.415 0.915 0.829
I 0.500 0.500 0.000
I 0.585 0.085 0.171
I 0.692 0.692 0.386
I 0.915 0.415 0.829

Output
- Total energy: -2.39 eV per atom
- Spin magnetization: 0.0000 μB per atom
- Calculated volume: 514 Å³/cell
- D(E_F): 3.64 states/eV/cell

Entry 12:
Density functional theory data (PBE) for Cs2TlAgI after structural relaxation.

Lattice parameters (Å, degrees): 7.025 7.025 5.415 90.00 90.00 90.00
Fractional positions:
Cs 0.000 0.500 0.000
Cs 0.500 0.000 0.000
Tl 0.000 0.000 0.500
Ag 0.000 0.000 0.000
I 0.500 0.500 0.500

Output
- Total energy: -2.11 eV per atom
- Spin magnetization: 0.0000 μB per atom
- Calculated volume: 267 Å³/cell
- D(E_F): 3.39 states/eV/cell

no.,uncorrected formation energy (eV per atom)
1,0.812
2,-0.260
3,-0.380
4,-1.074
5,-0.733
6,-0.839
7,-0.818
8,-0.685
9,-0.974
10,-0.184
11,-0.669
12,-0.412